Tb2Al6Au9 | the Alexandria database | GGA-PBE | optimized geometry; density of states at the Fermi level = 0.3345 states/eV per atom; total DFT energy (no corrections) = -68.221 eV per cell; energy relative to the elements = -39.8 kJ per mole of atoms
1.0
-4.340 -3.040 2.242
1.398 -0.640 -5.544
7.849 -8.980 3.016
Au Al Tb
9 6 2
Direct
0.500 0.500 0.500 Au
0.500 0.000 0.168 Au
0.500 0.000 0.832 Au
0.000 0.500 0.832 Au
0.000 0.500 0.500 Au
0.500 0.500 0.832 Au
0.500 0.500 0.168 Au
0.000 0.500 0.168 Au
0.500 0.000 0.500 Au
0.333 0.667 0.335 Al
0.667 0.333 0.000 Al
0.333 0.667 0.665 Al
0.667 0.333 0.665 Al
0.333 0.667 0.000 Al
0.667 0.333 0.335 Al
0.000 0.000 0.675 Tb
0.000 0.000 0.325 Tb

TbAl3Au6 | the Alexandria database | GGA-PBE | optimized geometry; density of states at the Fermi level = 0.2983 states/eV per atom; total DFT energy (no corrections) = -40.364 eV per cell; energy relative to the elements = -46.7 kJ per mole of atoms
1.0
1.001 5.621 -3.258
-5.225 -3.598 -2.264
-2.668 -2.274 6.639
Au Al Tb
6 3 1
Direct
0.813 0.276 0.865 Au
0.226 0.841 0.590 Au
0.600 0.498 0.403 Au
0.172 0.755 0.167 Au
0.341 0.432 0.677 Au
0.677 0.034 0.180 Au
0.788 0.456 0.200 Al
0.250 0.597 0.910 Al
0.187 0.104 0.292 Al
0.947 0.007 0.717 Tb

Tb2Al2Au3 | the Alexandria database | GGA-PBE | optimized geometry; density of states at the Fermi level = 0.5412 states/eV per atom; total DFT energy (no corrections) = -63.540 eV per cell; energy relative to the elements = -71.6 kJ per mole of atoms
1.0
-2.179 -2.412 -2.658
6.131 -1.672 -3.510
2.376 -6.453 7.224
Au Al Tb
6 4 4
Direct
0.226 0.750 0.453 Au
0.433 0.550 0.866 Au
0.567 0.450 0.134 Au
0.774 0.250 0.547 Au
0.433 0.950 0.866 Au
0.567 0.050 0.134 Au
0.695 0.944 0.389 Al
0.695 0.556 0.389 Al
0.305 0.056 0.611 Al
0.305 0.444 0.611 Al
0.941 0.250 0.883 Tb
0.059 0.750 0.117 Tb
0.150 0.250 0.301 Tb
0.850 0.750 0.699 Tb

TbAl6Au3 | the Alexandria database | GGA-PBE | optimized geometry; density of states at the Fermi level = 0.3579 states/eV per atom; total DFT energy (no corrections) = -81.704 eV per cell; energy relative to the elements = -38.0 kJ per mole of atoms
1.0
4.261 0.000 0.000
0.000 8.484 -1.609
0.000 0.614 10.385
Au Al Tb
6 12 2
Direct
0.750 0.703 0.550 Au
0.750 0.188 0.090 Au
0.250 0.297 0.450 Au
0.750 0.350 0.831 Au
0.250 0.812 0.910 Au
0.250 0.650 0.169 Au
0.750 0.487 0.088 Al
0.750 0.085 0.463 Al
0.250 0.349 0.209 Al
0.250 0.593 0.420 Al
0.250 0.915 0.537 Al
0.250 0.513 0.912 Al
0.750 0.785 0.316 Al
0.750 0.407 0.580 Al
0.250 0.215 0.684 Al
0.250 0.159 0.945 Al
0.750 0.651 0.791 Al
0.750 0.841 0.055 Al
0.750 0.989 0.769 Tb
0.250 0.011 0.231 Tb

Tb2Al3Au2 | the Alexandria database | GGA-PBE | optimized geometry; density of states at the Fermi level = 0.5662 states/eV per atom; total DFT energy (no corrections) = -62.589 eV per cell; energy relative to the elements = -58.6 kJ per mole of atoms
1.0
4.180 0.000 -0.997
0.000 7.316 0.000
0.091 0.000 9.649
Tb Al Au
4 6 4
Direct
0.157 0.250 0.314 Tb
0.052 0.750 0.104 Tb
0.948 0.250 0.896 Tb
0.843 0.750 0.686 Tb
0.224 0.750 0.448 Al
0.560 0.425 0.120 Al
0.440 0.925 0.880 Al
0.440 0.575 0.880 Al
0.560 0.075 0.120 Al
0.776 0.250 0.552 Al
0.688 0.549 0.377 Au
0.688 0.951 0.377 Au
0.312 0.049 0.623 Au
0.312 0.451 0.623 Au

Tb3Al9Au2 | the Alexandria database | GGA-PBE | optimized geometry; density of states at the Fermi level = 0.2164 states/eV per atom; total DFT energy (no corrections) = -61.462 eV per cell; energy relative to the elements = -50.5 kJ per mole of atoms
1.0
4.146 0.000 1.114
1.644 7.857 2.155
-0.009 -0.169 8.310
Tb Al Au
3 9 2
Direct
0.688 0.312 0.312 Tb
0.312 0.688 0.688 Tb
0.000 0.000 0.000 Tb
0.338 0.288 0.036 Al
0.866 0.855 0.412 Al
0.866 0.412 0.855 Al
0.662 0.964 0.712 Al
0.338 0.036 0.288 Al
0.134 0.145 0.588 Al
0.134 0.588 0.145 Al
0.662 0.712 0.964 Al
0.000 0.500 0.500 Al
0.500 0.713 0.287 Au
0.500 0.287 0.713 Au

Tb4AlAu3 | the Alexandria database | GGA-PBE | optimized geometry; density of states at the Fermi level = 0.8351 states/eV per atom; total DFT energy (no corrections) = -37.936 eV per cell; energy relative to the elements = -70.4 kJ per mole of atoms
1.0
3.732 0.000 0.000
0.000 4.658 0.000
0.000 0.000 11.252
Tb Au Al
4 3 1
Direct
0.500 0.500 0.361 Tb
0.000 0.500 0.853 Tb
0.500 0.000 0.640 Tb
0.000 0.000 0.148 Tb
0.500 0.000 0.921 Au
0.000 0.000 0.416 Au
0.000 0.500 0.586 Au
0.500 0.500 0.076 Al

Tb5Al4Au | the Alexandria database | GGA-PBE | optimized geometry; density of states at the Fermi level = 0.6283 states/eV per atom; total DFT energy (no corrections) = -46.148 eV per cell; energy relative to the elements = -45.8 kJ per mole of atoms
1.0
3.603 0.000 0.000
0.000 3.603 0.000
0.000 0.000 18.261
Al Tb Au
4 5 1
Direct
0.000 0.000 0.599 Al
0.000 0.000 0.401 Al
0.000 0.000 0.202 Al
0.000 0.000 0.798 Al
0.500 0.500 0.301 Tb
0.500 0.500 0.500 Tb
0.500 0.500 0.699 Tb
0.500 0.500 0.901 Tb
0.500 0.500 0.099 Tb
0.000 0.000 0.000 Au

Tb3Al2Au7 | the Alexandria database | GGA-PBE | optimized geometry; density of states at the Fermi level = 0.3588 states/eV per atom; total DFT energy (no corrections) = -51.744 eV per cell; energy relative to the elements = -59.7 kJ per mole of atoms
1.0
4.248 0.000 0.000
0.000 4.248 0.000
-2.124 -2.124 14.032
Tb Au Al
3 7 2
Direct
0.326 0.326 0.651 Tb
0.500 0.500 0.000 Tb
0.674 0.674 0.349 Tb
0.000 0.000 0.000 Au
0.220 0.220 0.440 Au
0.920 0.420 0.840 Au
0.420 0.920 0.840 Au
0.780 0.780 0.560 Au
0.580 0.080 0.160 Au
0.080 0.580 0.160 Au
0.869 0.869 0.739 Al
0.131 0.131 0.261 Al

TbAl4Au2 | the Alexandria database | GGA-PBE | optimized geometry; density of states at the Fermi level = 0.5870 states/eV per atom; total DFT energy (no corrections) = -59.568 eV per cell; energy relative to the elements = -50.0 kJ per mole of atoms
1.0
-1.857 -0.829 3.492
2.522 -7.678 -0.483
6.734 1.958 4.046
Au Al Tb
4 8 2
Direct
0.000 0.208 0.792 Au
0.500 0.292 0.292 Au
0.000 0.792 0.208 Au
0.500 0.708 0.708 Au
0.000 0.916 0.664 Al
0.500 0.164 0.584 Al
0.500 0.836 0.416 Al
0.500 0.584 0.164 Al
0.000 0.664 0.916 Al
0.500 0.416 0.836 Al
0.000 0.084 0.336 Al
0.000 0.336 0.084 Al
0.500 0.000 0.000 Tb
0.000 0.500 0.500 Tb

TbAl6Au12 | the Alexandria database | GGA-PBE | optimized geometry; density of states at the Fermi level = 0.1939 states/eV per atom; total DFT energy (no corrections) = -72.994 eV per cell; energy relative to the elements = -33.4 kJ per mole of atoms
1.0
-0.029 1.107 -7.425
-4.319 -6.015 1.235
-3.640 5.840 3.000
Al Au Tb
6 12 1
Direct
0.717 0.307 0.717 Al
0.693 0.283 0.283 Al
0.717 0.717 0.307 Al
0.283 0.283 0.693 Al
0.283 0.693 0.283 Al
0.307 0.717 0.717 Al
0.375 0.375 0.128 Au
0.872 0.625 0.625 Au
0.500 0.120 0.880 Au
0.625 0.872 0.625 Au
0.880 0.120 0.500 Au
0.120 0.500 0.880 Au
0.880 0.500 0.120 Au
0.128 0.375 0.375 Au
0.375 0.128 0.375 Au
0.500 0.880 0.120 Au
0.625 0.625 0.872 Au
0.120 0.880 0.500 Au
0.000 0.000 0.000 Tb

TbAl4Au2 | the Alexandria database | GGA-PBE | optimized geometry; density of states at the Fermi level = 0.2768 states/eV per atom; total DFT energy (no corrections) = -120.973 eV per cell; energy relative to the elements = -56.3 kJ per mole of atoms
1.0
-1.694 -3.854 -1.082
5.566 -1.375 -3.820
7.648 -7.219 13.745
Al Au Tb
16 8 4
Direct
0.250 0.674 0.684 Al
0.250 0.271 0.689 Al
0.250 0.826 0.184 Al
0.750 0.326 0.316 Al
0.250 0.024 0.933 Al
0.750 0.644 0.965 Al
0.250 0.229 0.189 Al
0.250 0.144 0.535 Al
0.750 0.771 0.811 Al
0.750 0.174 0.816 Al
0.750 0.976 0.067 Al
0.750 0.729 0.311 Al
0.750 0.856 0.465 Al
0.250 0.476 0.433 Al
0.250 0.356 0.035 Al
0.750 0.524 0.567 Al
0.250 0.752 0.536 Au
0.750 0.031 0.217 Au
0.750 0.252 0.964 Au
0.750 0.248 0.464 Au
0.250 0.748 0.036 Au
0.250 0.969 0.783 Au
0.750 0.469 0.717 Au
0.250 0.531 0.283 Au
0.750 0.512 0.141 Tb
0.750 0.988 0.641 Tb
0.250 0.488 0.859 Tb
0.250 0.012 0.359 Tb

Please write out number 2 again, unchanged.
TbAl3Au6 | the Alexandria database | GGA-PBE | optimized geometry; density of states at the Fermi level = 0.2983 states/eV per atom; total DFT energy (no corrections) = -40.364 eV per cell; energy relative to the elements = -46.7 kJ per mole of atoms
1.0
1.001 5.621 -3.258
-5.225 -3.598 -2.264
-2.668 -2.274 6.639
Au Al Tb
6 3 1
Direct
0.813 0.276 0.865 Au
0.226 0.841 0.590 Au
0.600 0.498 0.403 Au
0.172 0.755 0.167 Au
0.341 0.432 0.677 Au
0.677 0.034 0.180 Au
0.788 0.456 0.200 Al
0.250 0.597 0.910 Al
0.187 0.104 0.292 Al
0.947 0.007 0.717 Tb

Please write out number 8 again, unchanged.
Tb5Al4Au | the Alexandria database | GGA-PBE | optimized geometry; density of states at the Fermi level = 0.6283 states/eV per atom; total DFT energy (no corrections) = -46.148 eV per cell; energy relative to the elements = -45.8 kJ per mole of atoms
1.0
3.603 0.000 0.000
0.000 3.603 0.000
0.000 0.000 18.261
Al Tb Au
4 5 1
Direct
0.000 0.000 0.599 Al
0.000 0.000 0.401 Al
0.000 0.000 0.202 Al
0.000 0.000 0.798 Al
0.500 0.500 0.301 Tb
0.500 0.500 0.500 Tb
0.500 0.500 0.699 Tb
0.500 0.500 0.901 Tb
0.500 0.500 0.099 Tb
0.000 0.000 0.000 Au